Record 1
First-principles (SCAN) data for a PBEsol-optimized structure of RuS2BrN, as listed in Alexandria via LeMat-Bulk.

Cell lengths 4.7842, 4.7842, 3.5471 Å; angles 90.00, 90.00, 90.00 degrees
Last column: nearest neighbours and their distance in Å.
Space group P4/mmm (No. 123)
Unique sites:
Ru: 0.0000 0.0000 0.0000 [1 per cell]  8 S 2.98
S: 0.0000 0.5000 0.5000 [2 per cell]  2 Br 2.39
Br: 0.5000 0.5000 0.5000 [1 per cell]  2 N 1.77
N: 0.5000 0.5000 0.0000 [1 per cell]  2 Br 1.77

Spin magnetization = 2.89 μB/cell
Fermi-level density of states = 0.991 states/eV/atom
Calculated density = 5.30 g/cm³
E_form (uncorrected) = 2034 meV per atom



Record 2
First-principles (SCAN) data for a PBEsol-optimized structure of BeCuTc2Sn, as listed in Alexandria via LeMat-Bulk.

Cell lengths 4.2251, 4.2251, 3.9313 Å; angles 90.00, 90.00, 90.00 degrees
Last column: nearest neighbours and their distance in Å.
Space group P4/mmm (No. 123)
Unique sites:
Be: 0.0000 0.0000 0.0000 [1 per cell]  2 Cu 1.97, 4 Tc 2.11
Cu: 0.0000 0.0000 0.5000 [1 per cell]  2 Be 1.97
Tc: 0.0000 0.5000 0.0000 [2 per cell]  2 Be 2.11
Sn: 0.5000 0.5000 0.5000 [1 per cell]  8 Tc 2.89, 4 Cu 2.99

Spin magnetization = 0.00 μB/cell
Fermi-level density of states = 0.926 states/eV/atom
Calculated density = 9.16 g/cm³
Energy of formation from the pure elements = 2.41 eV per formula unit



Record 3
First-principles (SCAN) data for a PBEsol-optimized structure of Ti3TlTe, as listed in Alexandria via LeMat-Bulk.

Cell lengths 4.9510, 4.9510, 4.9510 Å; angles 90.00, 90.00, 90.00 degrees
Last column: nearest neighbours and their distance in Å.
Space group Pm-3m (No. 221)
Unique sites:
Ti: 0.0000 0.0000 0.5000 [3 per cell]  2 Te 2.48
Tl: 0.5000 0.5000 0.5000 [1 per cell]  12 Ti 3.50
Te: 0.0000 0.0000 0.0000 [1 per cell]  6 Ti 2.48

Spin magnetization = 4.01 μB/cell
Fermi-level density of states = 1.069 states/eV/atom
Calculated density = 6.51 g/cm³
E_form (uncorrected) = 562 meV per atom



Record 4
First-principles (SCAN) data for a PBEsol-optimized structure of Re3SeO, as listed in Alexandria via LeMat-Bulk.

Cell lengths 4.1022, 4.1022, 4.1022 Å; angles 90.00, 90.00, 90.00 degrees
Last column: nearest neighbours and their distance in Å.
Space group Pm-3m (No. 221)
Unique sites:
Re: 0.0000 0.0000 0.5000 [3 per cell]  2 O 2.05
Se: 0.5000 0.5000 0.5000 [1 per cell]  12 Re 2.90
O: 0.0000 0.0000 0.0000 [1 per cell]  6 Re 2.05

Spin magnetization = 1.03 μB/cell
Fermi-level density of states = 0.741 states/eV/atom
Calculated density = 15.72 g/cm³
E_form (uncorrected) = 1129 meV per atom



Record 5
First-principles (SCAN) data for a PBEsol-optimized structure of Ce6Ni20As13, as listed in Alexandria via LeMat-Bulk.

Cell lengths 12.9736, 12.9736, 3.8950 Å; angles 90.00, 90.00, 120.00 degrees
Last column: nearest neighbours and their distance in Å.
Space group P-6 (No. 174)
Unique sites:
Ce: 0.0566 0.8551 0.0000 [3 per cell]  6 As 2.95-3.05, 9 Ni 3.02-3.24
Ce: 0.5186 0.1362 0.5000 [3 per cell]  6 As 3.00-3.04, 10 Ni 3.02-3.20
Ni: 0.0000 0.0000 0.5000 [1 per cell]  3 As 2.31
Ni: 0.0206 0.5958 0.0000 [3 per cell]  4 As 2.37-2.40, 1 Ni 2.60
Ni: 0.0854 0.3423 0.5000 [3 per cell]  4 As 2.33-2.39, 1 Ni 2.49
Ni: 0.1349 0.5539 0.5000 [3 per cell]  4 As 2.24-2.38, 1 Ni 2.49
Ni: 0.2509 0.7282 0.0000 [3 per cell]  5 As 2.39-2.65, 1 Ni 2.60
Ni: 0.3100 0.0796 0.0000 [3 per cell]  4 As 2.34-2.38
Ni: 0.3568 0.2579 0.5000 [3 per cell]  4 As 2.34-2.36
Ni: 0.6667 0.3333 0.0000 [1 per cell]  3 As 2.33
As: 0.0599 0.4340 0.0000 [3 per cell]  7 Ni 2.34-2.40
As: 0.1060 0.7142 0.5000 [3 per cell]  5 Ni 2.29-2.38
As: 0.1998 0.0589 0.5000 [3 per cell]  5 Ni 2.31-2.36
As: 0.3333 0.6667 0.5000 [1 per cell]  3 Ni 2.24
As: 0.4670 0.2818 0.0000 [3 per cell]  5 Ni 2.33-2.38

Spin magnetization = 0.00 μB/cell
Fermi-level density of states = 0.741 states/eV/atom
Calculated density = 8.74 g/cm³
Energy of formation from the pure elements = -28.65 eV per formula unit



Record 6
First-principles (SCAN) data for a PBEsol-optimized structure of TlOsS2Br, as listed in Alexandria via LeMat-Bulk.

Cell lengths 4.9136, 4.9136, 5.4642 Å; angles 90.00, 90.00, 90.00 degrees
Last column: nearest neighbours and their distance in Å.
Space group P4/mmm (No. 123)
Unique sites:
Tl: 0.0000 0.0000 0.0000 [1 per cell]  4 S 2.46, 2 Os 2.73
Os: 0.0000 0.0000 0.5000 [1 per cell]  2 Tl 2.73
S: 0.0000 0.5000 0.0000 [2 per cell]  2 Tl 2.46
Br: 0.5000 0.5000 0.5000 [1 per cell]  4 Os 3.47, 8 S 3.67

Spin magnetization = 4.81 μB/cell
Fermi-level density of states = 1.334 states/eV/atom
Calculated density = 6.78 g/cm³
E_form (uncorrected) = 1808 meV per atom



Record 7
First-principles (SCAN) data for a PBEsol-optimized structure of AlPdSCl2, as listed in Alexandria via LeMat-Bulk.

Cell lengths 4.7042, 4.7042, 4.7555 Å; angles 90.00, 90.00, 90.00 degrees
Last column: nearest neighbours and their distance in Å.
Space group P4/mmm (No. 123)
Unique sites:
Al: 0.0000 0.0000 0.0000 [1 per cell]  4 S 3.33, 8 Cl 3.34
Pd: 0.5000 0.5000 0.5000 [1 per cell]  4 Cl 2.35, 2 S 2.38
S: 0.5000 0.5000 0.0000 [1 per cell]  2 Pd 2.38
Cl: 0.0000 0.5000 0.5000 [2 per cell]  2 Pd 2.35

Spin magnetization = 0.00 μB/cell
Fermi-level density of states = 0.574 states/eV/atom
Calculated density = 3.73 g/cm³
E_form (uncorrected) = -75 meV per atom



Record 8
First-principles (SCAN) data for a PBEsol-optimized structure of CsB2I, as listed in Alexandria via LeMat-Bulk.

Cell lengths 7.1811, 7.1811, 7.1811 Å; angles 90.00, 90.00, 90.00 degrees
Last column: nearest neighbours and their distance in Å.
Space group Fm-3m (No. 225)
Unique sites:
Cs: 0.0000 0.0000 0.0000 [4 per cell]  8 B 3.11
B: 0.2500 0.2500 0.2500 [8 per cell]  4 I 3.11, 4 Cs 3.11
I: 0.0000 0.0000 0.5000 [4 per cell]  8 B 3.11

Spin magnetization = 1.75 μB/cell
Fermi-level density of states = 0.770 states/eV/atom
Calculated density = 5.05 g/cm³
E_form (uncorrected) = 1973 meV per atom



Record 9
First-principles (SCAN) data for a PBEsol-optimized structure of CaLa2Co, as listed in Alexandria via LeMat-Bulk.

Cell lengths 4.4466, 5.5216, 9.6784 Å; angles 90.00, 90.00, 90.00 degrees
Last column: nearest neighbours and their distance in Å.
Space group Cmmm (No. 65)
Unique sites:
Ca: 0.0000 0.0000 0.0000 [2 per cell]  4 Ca 3.54, 4 La 3.95
La: 0.0000 0.5000 0.3370 [4 per cell]  2 Co 2.73
Co: 0.0000 0.0000 0.5000 [2 per cell]  4 La 2.73

Spin magnetization = 1.84 μB/cell
Excess energy over the best structure of this formula in the dataset = 0.0212 eV/atom
Fermi-level density of states = 0.921 states/eV/atom
Calculated density = 5.27 g/cm³
Energy of formation from the pure elements = 0.19 eV per formula unit



Record 10
First-principles (SCAN) data for a PBEsol-optimized structure of KSi2Pt, as listed in Alexandria via LeMat-Bulk.

Cell lengths 7.0462, 4.0739, 6.6460 Å; angles 90.00, 110.74, 90.00 degrees
Last column: nearest neighbours and their distance in Å.
Space group C2/m (No. 12)
Unique sites:
K: 0.0000 0.0000 0.0000 [2 per cell]  6 Si 3.36
Si: 0.2044 0.0000 0.6139 [4 per cell]  3 Pt 2.45-2.46, 3 Si 2.74-2.75
Pt: 0.0000 0.5000 0.5000 [2 per cell]  6 Si 2.45-2.46

Spin magnetization = 0.53 μB/cell
Fermi-level density of states = 0.761 states/eV/atom
Calculated density = 5.40 g/cm³
E_form (uncorrected) = -440 meV per atom



Record 11
First-principles (SCAN) data for a PBEsol-optimized structure of Ho2CuB4O10, as listed in Alexandria via LeMat-Bulk.

Cell lengths 4.5461, 7.2020, 9.2762 Å; angles 90.00, 90.52, 90.00 degrees
Last column: nearest neighbours and their distance in Å.
Space group P2_1/c (No. 14)
Unique sites:
Ho: 0.0026 0.1046 0.1658 [4 per cell]  6 O 2.19-2.41
Cu: 0.0000 0.0000 0.5000 [2 per cell]  4 O 1.94-2.04
B: 0.4630 0.7314 0.5808 [4 per cell]  4 O 1.42-1.54
B: 0.4698 0.0980 0.6616 [4 per cell]  4 O 1.44-1.52
O: 0.2141 0.5901 0.8344 [4 per cell]  1 B 1.44
O: 0.2311 0.6089 0.5417 [4 per cell]  1 B 1.42
O: 0.3222 0.5888 0.1376 [4 per cell]  2 B 1.52-1.54
O: 0.3382 0.1651 0.7999 [4 per cell]  2 B 1.50
O: 0.3543 0.2219 0.5466 [4 per cell]  2 B 1.48-1.49

Spin magnetization = 2.00 μB/cell
Calculated density = 6.52 g/cm³
E_form (uncorrected) = -2905 meV per atom



Record 12
First-principles (SCAN) data for a PBEsol-optimized structure of Li2ReAu, as listed in Alexandria via LeMat-Bulk.

Cell lengths 2.6149, 2.6149, 8.3368 Å; angles 90.00, 90.00, 90.00 degrees
Last column: nearest neighbours and their distance in Å.
Space group P4/mmm (No. 123)
Unique sites:
Li: 0.0000 0.0000 0.2434 [2 per cell]  4 Li 2.61, 4 Au 2.75, 4 Re 2.83
Re: 0.5000 0.5000 0.5000 [1 per cell]  4 Re 2.61, 8 Li 2.83
Au: 0.5000 0.5000 0.0000 [1 per cell]  4 Au 2.61, 8 Li 2.75

Spin magnetization = 0.00 μB/cell
Excess energy over the best structure of this formula in the dataset = 0.0061 eV/atom
Fermi-level density of states = 0.363 states/eV/atom
Calculated density = 11.57 g/cm³
Energy of formation from the pure elements = -0.24 eV per formula unit